Entry 1:
MgCd4Ni | PBE | relaxed

Unit cell a=5.401 b=7.098 c=7.896 alpha=116.71 beta=111.98 gamma=90.00
Positions (direct):
1 Cd 0.636 0.347 0.244
2 Cd 0.171 0.678 0.357
3 Ni 0.285 0.506 0.012
4 Cd 0.000 0.804 0.000
5 Ni 0.715 0.494 0.988
6 Cd 0.364 0.653 0.756
7 Mg 0.784 0.796 0.593
8 Cd 0.000 0.196 0.000
9 Cd 0.364 0.103 0.756
10 Mg 0.216 0.204 0.407
11 Cd 0.636 0.897 0.244
12 Cd 0.829 0.322 0.643

Output
Theoretical density (g/cm3): 7.21
Total DFT energy (no corrections) (eV per atom): -1.85
Formation energy from the elements (eV per atom): -0.01
Total moment (μB per cell): 0.00
Crystal system: monoclinic
DOS at the Fermi energy (states/eV/atom): 0.391
E above lowest polymorph (kJ per mole of atoms): 0.0

---

Entry 2:
Mg3Cd4Ni | PBE | relaxed

Unit cell a=4.601 b=4.601 c=8.100 alpha=106.98 beta=106.98 gamma=89.36
Positions (direct):
1 Mg 0.253 0.753 0.505
2 Mg 0.000 0.500 0.000
3 Cd 0.115 0.116 0.230
4 Cd 0.885 0.884 0.770
5 Cd 0.384 0.385 0.770
6 Ni 0.500 0.000 0.000
7 Mg 0.747 0.247 0.495
8 Cd 0.616 0.615 0.230

Output
Theoretical density (g/cm3): 6.17
Total DFT energy (no corrections) (eV per atom): -1.82
Formation energy from the elements (eV per atom): -0.04
Total moment (μB per cell): 0.00
Crystal system: monoclinic
DOS at the Fermi energy (states/eV/atom): 0.423

---

Entry 3:
MgCd3Ni | PBE | relaxed

Unit cell a=5.192 b=5.192 c=5.192 alpha=90.00 beta=90.00 gamma=90.00
Positions (direct):
1 Mg 0.000 0.000 0.000
2 Cd 0.000 0.000 0.500
3 Ni 0.500 0.500 0.500
4 Cd 0.500 0.000 0.000
5 Cd 0.000 0.500 0.000

Output
Theoretical density (g/cm3): 4.99
Total DFT energy (no corrections) (eV per atom): -1.06
Formation energy from the elements (eV per atom): 0.96
Total moment (μB per cell): 0.00
Crystal system: cubic
DOS at the Fermi energy (states/eV/atom): 1.141
E above lowest polymorph (kJ per mole of atoms): 90.2

---

Entry 4:
MgCd3Ni | PBE | relaxed

Unit cell a=4.958 b=4.958 c=4.958 alpha=90.00 beta=90.00 gamma=90.00
Positions (direct):
1 Cd 0.000 0.000 0.500
2 Ni 0.000 0.000 0.000
3 Cd 0.500 0.000 0.000
4 Mg 0.500 0.500 0.500
5 Cd 0.000 0.500 0.000

Output
Theoretical density (g/cm3): 5.73
Total DFT energy (no corrections) (eV per atom): -1.83
Formation energy from the elements (eV per atom): 0.20
Total moment (μB per cell): 0.00
Crystal system: cubic
DOS at the Fermi energy (states/eV/atom): 0.387
E above lowest polymorph (kJ per mole of atoms): 16.4

---

Entry 5:
Mg6Cd5Ni | PBE | relaxed

Unit cell a=4.649 b=7.499 c=8.252 alpha=117.03 beta=106.36 gamma=90.00
Positions (direct):
1 Mg 0.845 0.617 0.689
2 Mg 0.845 0.073 0.689
3 Cd 0.320 0.820 0.640
4 Cd 0.680 0.180 0.360
5 Mg 0.155 0.383 0.311
6 Mg 0.500 0.209 0.000
7 Ni 0.000 0.000 0.000
8 Cd 0.341 0.341 0.682
9 Cd 0.000 0.500 0.000
10 Cd 0.659 0.659 0.318
11 Mg 0.155 0.927 0.311
12 Mg 0.500 0.791 0.000

Output
Theoretical density (g/cm3): 5.24
Total DFT energy (no corrections) (eV per atom): -1.75
Formation energy from the elements (eV per atom): -0.09
Total moment (μB per cell): 0.00
Crystal system: orthorhombic
DOS at the Fermi energy (states/eV/atom): 0.359

---

Entry 6:
Mg2CdNi2 | PBE | relaxed

Unit cell a=7.463 b=7.463 c=2.863 alpha=90.00 beta=90.00 gamma=90.00
Positions (direct):
1 Mg 0.865 0.635 0.000
2 Cd 0.000 0.000 0.000
3 Cd 0.500 0.500 0.000
4 Mg 0.135 0.365 0.000
5 Ni 0.340 0.160 0.500
6 Ni 0.660 0.840 0.500
7 Ni 0.840 0.340 0.500
8 Mg 0.635 0.135 0.000
9 Mg 0.365 0.865 0.000
10 Ni 0.160 0.660 0.500

Output
Theoretical density (g/cm3): 5.80
Total DFT energy (no corrections) (eV per atom): -3.14
Formation energy from the elements (eV per atom): -0.01
Total moment (μB per cell): 0.00
Crystal system: tetragonal
DOS at the Fermi energy (states/eV/atom): 0.392
E above lowest polymorph (kJ per mole of atoms): 9.9

---

Entry 7:
Mg2CdNi2 | PBE | relaxed

Unit cell a=3.326 b=3.326 c=8.438 alpha=78.63 beta=78.63 gamma=90.00
Each line ends with the local moment (μB).
Positions (direct):
1 Ni 0.250 0.750 0.500  0.18
2 Ni 0.750 0.250 0.500  0.18
3 Mg 0.378 0.378 0.245  0.00
4 Mg 0.622 0.622 0.755  0.00
5 Cd 0.000 0.000 0.000  0.00

Output
Theoretical density (g/cm3): 5.16
Total DFT energy (no corrections) (eV per atom): -3.06
Formation energy from the elements (eV per atom): 0.07
Total moment (μB per cell): 0.34
Crystal system: tetragonal
DOS at the Fermi energy (states/eV/atom): 0.811
E above lowest polymorph (kJ per mole of atoms): 17.8

---

Entry 8:
Mg2CdNi2 | PBE | relaxed

Unit cell a=6.725 b=6.725 c=3.652 alpha=90.00 beta=90.00 gamma=90.00
Positions (direct):
1 Mg 0.666 0.834 0.500
2 Ni 0.125 0.375 0.000
3 Mg 0.834 0.334 0.500
4 Ni 0.875 0.625 0.000
5 Mg 0.166 0.666 0.500
6 Ni 0.375 0.875 0.000
7 Cd 0.000 0.000 0.000
8 Ni 0.625 0.125 0.000
9 Cd 0.500 0.500 0.000
10 Mg 0.334 0.166 0.500

Output
Theoretical density (g/cm3): 5.60
Total DFT energy (no corrections) (eV per atom): -3.24
Formation energy from the elements (eV per atom): -0.11
Total moment (μB per cell): 0.00
Crystal system: tetragonal
DOS at the Fermi energy (states/eV/atom): 0.770
E above lowest polymorph (kJ per mole of atoms): 0.0

---

Entry 9:
Mg4Cd3Ni | PBE | relaxed

Unit cell a=3.205 b=3.205 c=15.291 alpha=90.00 beta=90.00 gamma=90.00
Positions (direct):
1 Cd 0.500 0.500 0.500
2 Mg 0.000 0.000 0.094
3 Mg 0.000 0.000 0.364
4 Mg 0.000 0.000 0.906
5 Mg 0.000 0.000 0.636
6 Ni 0.500 0.500 0.000
7 Cd 0.500 0.500 0.772
8 Cd 0.500 0.500 0.228

Output
Theoretical density (g/cm3): 5.21
Total DFT energy (no corrections) (eV per atom): -1.98
Formation energy from the elements (eV per atom): -0.12
Total moment (μB per cell): 0.00
Crystal system: tetragonal
DOS at the Fermi energy (states/eV/atom): 0.571

---

Entry 10:
Mg2CdNi2 | PBE | relaxed

Unit cell a=3.946 b=3.946 c=6.266 alpha=71.65 beta=71.65 gamma=90.00
Positions (direct):
1 Mg 0.750 0.250 0.500
2 Cd 0.000 0.000 0.000
3 Mg 0.250 0.750 0.500
4 Ni 0.400 0.400 0.201
5 Ni 0.600 0.600 0.799

Output
Theoretical density (g/cm3): 5.29
Total DFT energy (no corrections) (eV per atom): -2.98
Formation energy from the elements (eV per atom): 0.15
Total moment (μB per cell): 0.00
Crystal system: tetragonal
DOS at the Fermi energy (states/eV/atom): 0.438
E above lowest polymorph (kJ per mole of atoms): 24.9

---

Entry 11:
Mg2Cd4Ni | PBE | relaxed

Unit cell a=4.952 b=4.952 c=7.953 alpha=71.86 beta=71.86 gamma=90.00
Positions (direct):
1 Cd 0.000 0.500 0.000
2 Ni 0.000 0.000 0.000
3 Cd 0.820 0.820 0.361
4 Cd 0.500 0.000 0.000
5 Mg 0.622 0.622 0.755
6 Mg 0.378 0.378 0.245
7 Cd 0.180 0.180 0.639

Output
Theoretical density (g/cm3): 5.28
Total DFT energy (no corrections) (eV per atom): -1.64
Formation energy from the elements (eV per atom): 0.16
Total moment (μB per cell): 0.00
Crystal system: tetragonal
DOS at the Fermi energy (states/eV/atom): 0.510

---

Entry 12:
Mg3CdNi2 | PBE | relaxed

Unit cell a=3.109 b=3.109 c=10.266 alpha=90.00 beta=90.00 gamma=90.00
Positions (direct):
1 Mg 0.000 0.000 0.000
2 Ni 0.500 0.500 0.856
3 Mg 0.000 0.000 0.289
4 Cd 0.500 0.500 0.500
5 Mg 0.000 0.000 0.711
6 Ni 0.500 0.500 0.144

Output
Theoretical density (g/cm3): 5.07
Total DFT energy (no corrections) (eV per atom): -3.02
Formation energy from the elements (eV per atom): -0.14
Total moment (μB per cell): 0.00
Crystal system: tetragonal
DOS at the Fermi energy (states/eV/atom): 0.517

---

Entry 13:
Mg5CdNi4 | PBE | relaxed

Unit cell a=3.008 b=3.008 c=17.233 alpha=90.00 beta=90.00 gamma=90.00
Positions (direct):
1 Mg 0.500 0.500 0.683
2 Mg 0.500 0.500 0.866
3 Ni 0.000 0.000 0.409
4 Ni 0.000 0.000 0.775
5 Ni 0.000 0.000 0.591
6 Mg 0.500 0.500 0.134
7 Ni 0.000 0.000 0.225
8 Mg 0.500 0.500 0.500
9 Mg 0.500 0.500 0.317
10 Cd 0.000 0.000 0.000

Output
Theoretical density (g/cm3): 4.99
Total DFT energy (no corrections) (eV per atom): -3.34
Formation energy from the elements (eV per atom): -0.14
Total moment (μB per cell): 0.00
Crystal system: tetragonal
DOS at the Fermi energy (states/eV/atom): 0.622